PmErBe4 | the Alexandria database | PBE-GGA | optimized geometry; spin magnetization = 0.00 μB/cell; V = 92 Å³ per cell; D(E_F) = 0.580 states/eV/atom; DFT total energy = -23.483 eV for the cell shown; space-group type = F-43m (216)
1.0
5.061 0.000 0.000
2.530 4.383 0.000
2.530 1.461 4.132
Er Be Pm
1 4 1
Direct
0.250 0.250 0.250
0.625 0.125 0.625
0.125 0.625 0.625
0.625 0.625 0.625
0.625 0.625 0.125
0.000 0.000 0.000